Record 1
! Zr3TiNi GGA-PBEsol relaxed; values from VASP
&SYSTEM
  ibrav = 0, nat = 5, ntyp = 3
/
ATOMIC_SPECIES
Zr 91.22 Zr.upf
Ti 47.87 Ti.upf
Ni 58.69 Ni.upf
ATOMIC_POSITIONS angstrom
Zr 0.000 0.000 2.393
Zr 0.000 2.393 0.000
Zr 2.393 0.000 0.000
Ti 0.000 0.000 0.000
Ni 2.393 2.393 2.393
CELL_PARAMETERS angstrom
4.787 0.000 0.000
0.000 4.787 0.000
0.000 0.000 4.787
! * crystal system: cubic
! * total moment: 0.00 μB/f.u.
! * ΔE_f: 1064 meV per atom
! * electronic total energy: -36.4 eV for the cell shown
! * symmetry: No. 221

Record 2
! AlSbCl3 GGA-PBEsol relaxed; values from VASP
&SYSTEM
  ibrav = 0, nat = 5, ntyp = 3
/
ATOMIC_SPECIES
Al 26.98 Al.upf
Sb 121.76 Sb.upf
Cl 35.45 Cl.upf
ATOMIC_POSITIONS angstrom
Al 0.000 0.000 0.000
Sb 2.395 2.395 2.395
Cl 0.000 0.000 2.395
Cl 0.000 2.395 0.000
Cl 2.395 0.000 0.000
CELL_PARAMETERS angstrom
4.789 0.000 0.000
0.000 4.789 0.000
0.000 0.000 4.789
! * crystal system: cubic
! * total moment: 0.00 μB/f.u.
! * electronic total energy: -16.5 eV for the cell shown
! * symmetry: No. 221
! * formation energy without anion corrections: -0.36 eV/atom

Record 3
! ZnIn2W GGA-PBEsol relaxed; values from VASP
&SYSTEM
  ibrav = 0, nat = 4, ntyp = 3
/
ATOMIC_SPECIES
Zn 65.41 Zn.upf
In 114.82 In.upf
W 183.84 W.upf
ATOMIC_POSITIONS angstrom
Zn 0.000 0.000 0.000
In 0.000 0.000 6.923
In 0.000 0.000 20.672
W 0.000 0.000 13.798
CELL_PARAMETERS angstrom
1.515 0.875 9.198
-1.515 0.875 9.198
0.000 -1.750 9.198
! * crystal system: trigonal
! * total moment: 0.00 μB/f.u.
! * ΔE_f: 422 meV per atom
! * electronic total energy: -19.7 eV for the cell shown
! * symmetry: No. 166

Question: Number 1 is which compound?
Answer: Zr3TiNi